Entry 1:
# Nd6Sm3DyTm2 GGA-PBE optimized geometry
data_Nd6Sm3DyTm2
_chemical_formula_sum 'Nd6 Sm3 Dy1 Tm2'
_cell_length_a 6.2940
_cell_length_b 6.2940
_cell_length_c 11.9262
_cell_angle_alpha 95.04
_cell_angle_beta 95.04
_cell_angle_gamma 120.01
_space_group_name_H-M_alt 'P 1'
_space_group_IT_number 1
loop_
_space_group_symop_operation_xyz
'x,y,z'
loop_
_atom_site_label
_atom_site_fract_x
_atom_site_fract_y
_atom_site_fract_z
Nd1 0.0834 0.4172 0.7535
Nd2 0.2491 0.2491 0.2465
Nd3 0.4172 0.0834 0.7535
Nd4 0.5828 0.9166 0.2465
Nd5 0.7509 0.7509 0.7535
Nd6 0.9166 0.5828 0.2465
Sm1 0.0000 0.0000 0.5000
Sm2 0.3332 0.6668 0.5000
Sm3 0.6668 0.3332 0.5000
Dy1 0.5000 0.5000 0.0000
Tm1 0.1666 0.8334 0.0000
Tm2 0.8334 0.1666 0.0000
# E_tot (eV per cell): -56.14
# E_form (eV per atom): 0.01
# Calculated density (g/cm3): 7.49

---

Entry 2:
# RbSr2LaIr GGA-PBE optimized geometry
data_RbSr2LaIr
_chemical_formula_sum 'Rb1 Sr2 La1 Ir1'
_cell_length_a 6.2654
_cell_length_b 6.2654
_cell_length_c 5.5338
_cell_angle_alpha 90.00
_cell_angle_beta 90.00
_cell_angle_gamma 90.00
_space_group_name_H-M_alt 'P 1'
_space_group_IT_number 1
loop_
_space_group_symop_operation_xyz
'x,y,z'
loop_
_atom_site_label
_atom_site_fract_x
_atom_site_fract_y
_atom_site_fract_z
Rb1 0.0000 0.0000 0.0000
Sr1 0.0000 0.5000 0.5000
Sr2 0.5000 0.0000 0.5000
La1 0.5000 0.5000 0.0000
Ir1 0.5000 0.5000 0.5000
# E_tot (eV per cell): -18.86
# E_form (eV per atom): -0.15
# Calculated density (g/cm3): 4.52